The following is a GGA-PBE calculation of a relaxed PmSc2Bi crystal, from the Alexandria database.

Lattice parameters (Å, degrees): 4.760 4.760 4.607 90.00 90.00 90.00
Fractional coordinates of all 4 atoms:
Pm  0.000  0.000  0.000
Sc  0.000  0.500  0.500
Sc  0.500  0.000  0.500
Bi  0.500  0.500  0.000

Summary:
For the formation enthalpy at 0 K, the calculation gives -31 kJ per mole of atoms. The space-group type is P4/mmm (123). The electronic total energy comes out at -5.646 eV/atom. For the density, the calculation gives 7.1 Mg/m³. As for the energy above the most stable polymorph in this dataset: 0 meV/atom.